Compound: LiAcAgPd
Source: Alexandria
Functional: GGA-PBE
Structure: relaxed Values from VASP.

Structure (Quantum ESPRESSO input):
```
&SYSTEM
  ibrav = 0, nat = 4, ntyp = 4
/
ATOMIC_SPECIES
Pd 106.42 Pd.upf
Li 6.94 Li.upf
Ag 107.87 Ag.upf
Ac 227.00 Ac.upf
ATOMIC_POSITIONS angstrom
Pd 0.000 0.000 0.000
Li -2.117 -4.195 -8.239
Ag -1.411 -2.797 -5.492
Ac -0.706 -1.398 -2.746
CELL_PARAMETERS angstrom
-0.950 0.792 -5.012
1.580 -3.448 -3.503
-3.453 -2.939 -2.469
```

Properties
SG: F-43m
E_form in kJ/mol of formula units: -121.0
Energy relative to the lowest polymorph listed for this composition in meV per atom: 150